Computed, not measured: a geometry-optimized PrDy3Er2S6 structure at the PBE level of DFT.

The calculation puts the raw formation energy at -1.983 eV per atom. Its total magnetic moment is 0.0000 μB/atom.

Unit cell a=6.8113 b=6.8113 c=6.7906 alpha=99.60 beta=99.60 gamma=120.17
With the nearest neighbours (Å) after each atom.
Element x y z (fractional)
S  0.9154  0.5685  0.7454  3 Dy 2.74-2.80, 2 Er 2.76, 1 Pr 2.87
S  0.2630  0.2630  0.7502  3 Dy 2.70-2.76, 2 Er 2.73, 1 Pr 2.85
S  0.5685  0.9154  0.7454  3 Dy 2.74-2.80, 2 Er 2.76, 1 Pr 2.87
S  0.4315  0.0846  0.2546  3 Dy 2.74-2.80, 2 Er 2.76, 1 Pr 2.87
S  0.0846  0.4315  0.2546  3 Dy 2.74-2.80, 2 Er 2.76, 1 Pr 2.87
S  0.7370  0.7370  0.2498  3 Dy 2.70-2.76, 2 Er 2.73, 1 Pr 2.85
Er  0.6656  0.3344  0.0000  6 S 2.73-2.76
Er  0.3344  0.6656  0.0000  6 S 2.73-2.76
Dy  0.1602  0.8398  0.5000  6 S 2.74-2.80
Dy  0.8398  0.1602  0.5000  6 S 2.74-2.80
Dy  0.5000  0.5000  0.5000  6 S 2.70-2.80
Pr  0.0000  0.0000  0.0000  6 S 2.85-2.87



Computed, not measured: a geometry-optimized PrDy2ErS6 structure at the PBE level of DFT.

The calculation puts the raw formation energy at -2.043 eV per atom. Its total magnetic moment is 0.0000 μB/atom.

Unit cell a=6.9838 b=6.9839 c=7.3883 alpha=61.79 beta=61.79 gamma=59.99
With the nearest neighbours (Å) after each atom.
Element x y z (fractional)
Pr  0.8090  0.8090  0.5729  6 S 2.81-2.94
S  0.3953  0.7195  0.7498  2 Dy 2.71-2.79, 1 Er 2.76, 1 Pr 2.81
S  0.1353  0.3954  0.7499  2 Dy 2.71-2.79, 1 Er 2.76, 1 Pr 2.81
S  0.7195  0.1353  0.7499  2 Dy 2.71-2.79, 1 Er 2.76, 1 Pr 2.81
S  0.6119  0.2231  0.2467  1 Er 2.72, 2 Dy 2.72-2.78, 1 Pr 2.94
S  0.2230  0.9183  0.2467  1 Er 2.72, 2 Dy 2.72-2.78, 1 Pr 2.94
S  0.9183  0.6119  0.2468  1 Er 2.72, 2 Dy 2.72-2.78, 1 Pr 2.94
Dy  0.0140  0.0140  0.9580  6 S 2.71-2.78
Dy  0.5186  0.5186  0.4442  6 S 2.72-2.79
Er  0.3166  0.3166  0.0502  6 S 2.72-2.76



Computed, not measured: a geometry-optimized Pr3DyEr2S6 structure at the PBE level of DFT.

The calculation puts the raw formation energy at -2.006 eV per atom. Its total magnetic moment is 0.0000 μB/atom.

Unit cell a=6.8429 b=6.8429 c=7.0522 alpha=99.30 beta=99.30 gamma=120.14
With the nearest neighbours (Å) after each atom.
Element x y z (fractional)
Er  0.3334  0.6666  0.0000  6 S 2.73-2.74
Er  0.6666  0.3334  0.0000  6 S 2.73-2.74
Pr  0.5000  0.5000  0.5000  6 S 2.90-2.92
Pr  0.8344  0.1656  0.5000  6 S 2.91-2.92
Pr  0.1656  0.8344  0.5000  6 S 2.91-2.92
Dy  0.0000  0.0000  0.0000  6 S 2.75-2.76
S  0.9240  0.5883  0.7717  2 Er 2.73-2.74, 1 Dy 2.76, 3 Pr 2.91-2.92
S  0.2601  0.2601  0.7724  2 Er 2.73, 1 Dy 2.75, 3 Pr 2.90-2.91
S  0.4117  0.0760  0.2283  2 Er 2.73-2.74, 1 Dy 2.76, 3 Pr 2.91-2.92
S  0.7399  0.7399  0.2276  2 Er 2.73, 1 Dy 2.75, 3 Pr 2.90-2.91
S  0.5883  0.9240  0.7717  2 Er 2.73-2.74, 1 Dy 2.76, 3 Pr 2.91-2.92
S  0.0760  0.4117  0.2283  2 Er 2.73-2.74, 1 Dy 2.76, 3 Pr 2.91-2.92



Computed, not measured: a geometry-optimized PrDy2ErS4 structure at the PBE level of DFT.

The calculation puts the raw formation energy at -1.978 eV per atom. Its total magnetic moment is 0.0000 μB/atom.

Unit cell a=3.8996 b=6.8264 c=6.9102 alpha=71.15 beta=90.00 gamma=90.00
With the nearest neighbours (Å) after each atom.
Element x y z (fractional)
S  0.5000  0.7527  0.2590  3 Dy 2.73-2.81, 2 Er 2.77, 1 Pr 2.86
S  0.0000  0.2393  0.2638  3 Dy 2.72-2.81, 1 Er 2.78, 2 Pr 2.86
S  0.0000  0.7607  0.7362  3 Dy 2.72-2.81, 1 Er 2.78, 2 Pr 2.86
S  0.5000  0.2473  0.7409  3 Dy 2.73-2.81, 2 Er 2.77, 1 Pr 2.86
Er  0.0000  0.5000  0.5000  6 S 2.77-2.78
Pr  0.5000  0.5000  0.0000  6 S 2.86
Dy  0.0000  0.0000  0.0000  6 S 2.81
Dy  0.5000  0.0000  0.5000  6 S 2.72-2.73



Computed, not measured: a geometry-optimized Pr2Dy3ErSb6 structure at the PBE level of DFT.

The calculation puts the raw formation energy at -1.138 eV per atom. Its total magnetic moment is 0.0000 μB/atom.

Unit cell a=4.4408 b=8.8736 c=9.9212 alpha=102.90 beta=102.93 gamma=90.00
With the nearest neighbours (Å) after each atom.
Element x y z (fractional)
Pr  0.1654  0.3320  0.3308  6 Sb 3.18-3.20
Pr  0.8346  0.6680  0.6692  6 Sb 3.18-3.20
Sb  0.6653  0.0748  0.3307  3 Dy 3.09-3.13, 1 Er 3.11, 2 Pr 3.18
Sb  0.0036  0.7535  0.0071  3 Dy 3.10-3.15, 2 Er 3.13, 1 Pr 3.18
Sb  0.3347  0.9252  0.6693  3 Dy 3.09-3.13, 1 Er 3.11, 2 Pr 3.18
Sb  0.9964  0.2465  0.9929  3 Dy 3.10-3.15, 2 Er 3.13, 1 Pr 3.18
Sb  0.3355  0.4105  0.6711  3 Dy 3.09-3.10, 3 Pr 3.19-3.20
Sb  0.6645  0.5895  0.3289  3 Dy 3.09-3.10, 3 Pr 3.19-3.20
Dy  0.1683  0.8341  0.3367  6 Sb 3.09-3.13
Dy  0.8317  0.1659  0.6633  6 Sb 3.09-3.13
Dy  0.5000  0.5000  0.0000  6 Sb 3.10-3.15
Er  0.5000  0.0000  0.0000  6 Sb 3.11-3.13



Computed, not measured: a geometry-optimized Pr2DyEr3Sb6 structure at the PBE level of DFT.

The calculation puts the raw formation energy at -1.126 eV per atom. Its total magnetic moment is 0.0000 μB/atom.

Unit cell a=4.4301 b=8.8504 c=9.8948 alpha=102.83 beta=102.94 gamma=90.00
With the nearest neighbours (Å) after each atom.
Element x y z (fractional)
Sb  0.6665  0.0738  0.3330  3 Er 3.07-3.11, 1 Dy 3.13, 2 Pr 3.19
Sb  0.3361  0.4094  0.6722  3 Er 3.08, 3 Pr 3.19-3.20
Sb  0.6639  0.5906  0.3278  3 Er 3.08, 3 Pr 3.19-3.20
Sb  0.9962  0.2493  0.9923  3 Er 3.08-3.12, 2 Dy 3.14, 1 Pr 3.18
Sb  0.3335  0.9262  0.6670  3 Er 3.07-3.11, 1 Dy 3.13, 2 Pr 3.19
Sb  0.0038  0.7507  0.0077  3 Er 3.08-3.12, 2 Dy 3.14, 1 Pr 3.18
Dy  0.5000  0.0000  0.0000  6 Sb 3.13-3.14
Pr  0.8343  0.6679  0.6687  6 Sb 3.18-3.20
Pr  0.1657  0.3321  0.3313  6 Sb 3.18-3.20
Er  0.5000  0.5000  0.0000  6 Sb 3.08-3.12
Er  0.1680  0.8339  0.3360  6 Sb 3.07-3.11
Er  0.8320  0.1661  0.6640  6 Sb 3.07-3.11



Computed, not measured: a geometry-optimized PrDyEr2Sc structure at the PBE level of DFT.

Its total magnetic moment is 0.0000 μB/atom. The calculated formation energy comes out at 0.215 eV/atom.

Unit cell a=5.4237 b=8.3239 c=7.1285 alpha=90.01 beta=90.00 gamma=90.00
With the nearest neighbours (Å) after each atom.
Element x y z (fractional)
Er  0.5000  0.3132  0.5001  1 Er 3.11, 2 Sc 3.16
Er  0.5000  0.3132  0.0001  1 Er 3.11, 2 Sc 3.16
Er  0.5000  0.6868  0.9999  1 Er 3.11, 2 Sc 3.16
Er  0.5000  0.6868  0.4999  1 Er 3.11, 2 Sc 3.16
Sc  0.4999  0.0000  0.7500  4 Er 3.16, 4 Pr 3.24-3.25
Sc  0.5001  0.0000  0.2500  4 Er 3.16, 4 Pr 3.24-3.25
Pr  0.0000  0.0000  0.0000  4 Sc 3.24-3.25, 2 Pr 3.56
Pr  0.0000  0.0000  0.5000  4 Sc 3.24-3.25, 2 Pr 3.56
Dy  0.0000  0.5000  0.7500  2 Dy 3.56, 8 Er 3.60
Dy  0.0000  0.5000  0.2500  2 Dy 3.56, 8 Er 3.60



Computed, not measured: a geometry-optimized Pr6Dy3Er2Sc structure at the PBE level of DFT.

Its total magnetic moment is 0.0000 μB/atom. The calculated formation energy comes out at 0.025 eV/atom.

Unit cell a=6.2639 b=6.2639 c=11.7720 alpha=95.08 beta=95.08 gamma=119.99
With the nearest neighbours (Å) after each atom.
Element x y z (fractional)
Er  0.6666  0.3334  0.0000  6 Pr 3.54, 3 Er 3.62, 3 Sc 3.62
Er  0.3334  0.6666  0.0000  6 Pr 3.54, 3 Er 3.62, 3 Sc 3.62
Sc  0.0000  0.0000  0.0000  6 Pr 3.53, 6 Er 3.62
Pr  0.7513  0.7513  0.2467  1 Sc 3.53, 2 Er 3.54, 6 Pr 3.59-3.63, 3 Dy 3.60-3.61
Pr  0.9180  0.5874  0.7535  1 Sc 3.53, 2 Er 3.54, 6 Pr 3.59-3.63, 3 Dy 3.60-3.61
Pr  0.5874  0.9180  0.7535  1 Sc 3.53, 2 Er 3.54, 6 Pr 3.59-3.63, 3 Dy 3.60-3.61
Pr  0.0820  0.4126  0.2465  1 Sc 3.53, 2 Er 3.54, 6 Pr 3.59-3.63, 3 Dy 3.60-3.61
Pr  0.2487  0.2487  0.7533  1 Sc 3.53, 2 Er 3.54, 6 Pr 3.59-3.63, 3 Dy 3.60-3.61
Pr  0.4126  0.0820  0.2465  1 Sc 3.53, 2 Er 3.54, 6 Pr 3.59-3.63, 3 Dy 3.60-3.61
Dy  0.1668  0.8332  0.5000  6 Pr 3.60-3.61, 6 Dy 3.62
Dy  0.8332  0.1668  0.5000  6 Pr 3.60-3.61, 6 Dy 3.62
Dy  0.5000  0.5000  0.5000  6 Pr 3.60-3.61, 6 Dy 3.62



Computed, not measured: a geometry-optimized PrDy6Er2Sc3 structure at the PBE level of DFT.

Its total magnetic moment is 0.0000 μB/atom. The calculated formation energy comes out at 0.045 eV/atom.

Unit cell a=6.0482 b=6.0482 c=11.4803 alpha=95.03 beta=95.03 gamma=119.98
With the nearest neighbours (Å) after each atom.
Element x y z (fractional)
Er  0.6665  0.3335  0.0000  3 Er 3.49, 3 Pr 3.49, 6 Dy 3.56-3.57
Er  0.3335  0.6665  0.0000  3 Er 3.49, 3 Pr 3.49, 6 Dy 3.56-3.57
Sc  0.8329  0.1671  0.5000  6 Dy 3.37-3.38, 6 Sc 3.49-3.50
Sc  0.5000  0.5000  0.5000  6 Dy 3.37-3.38, 6 Sc 3.49
Sc  0.1671  0.8329  0.5000  6 Dy 3.37-3.38, 6 Sc 3.49-3.50
Dy  0.7528  0.7528  0.2603  3 Sc 3.37-3.38, 6 Dy 3.49-3.50, 2 Er 3.56, 1 Pr 3.57
Dy  0.0868  0.4207  0.2601  3 Sc 3.37-3.38, 6 Dy 3.49-3.50, 2 Er 3.56-3.57, 1 Pr 3.57
Dy  0.4207  0.0868  0.2601  3 Sc 3.37-3.38, 6 Dy 3.49-3.50, 2 Er 3.56-3.57, 1 Pr 3.57
Dy  0.2472  0.2472  0.7397  3 Sc 3.37-3.38, 6 Dy 3.49-3.50, 2 Er 3.56, 1 Pr 3.57
Dy  0.5793  0.9132  0.7399  3 Sc 3.37-3.38, 6 Dy 3.49-3.50, 2 Er 3.56-3.57, 1 Pr 3.57
Dy  0.9132  0.5793  0.7399  3 Sc 3.37-3.38, 6 Dy 3.49-3.50, 2 Er 3.56-3.57, 1 Pr 3.57
Pr  0.0000  0.0000  0.0000  6 Er 3.49, 6 Dy 3.57



Computed, not measured: a geometry-optimized Pr5Dy2ErSc structure at the PBE level of DFT.

Its total magnetic moment is 0.0000 μB/atom. The calculated formation energy comes out at 0.122 eV/atom.

Unit cell a=5.4079 b=11.3053 c=10.3078 alpha=90.00 beta=90.00 gamma=103.84
With the nearest neighbours (Å) after each atom.
Element x y z (fractional)
Pr  0.5001  0.0002  0.7579  2 Er 3.41, 4 Dy 3.70, 6 Pr 3.74-3.81
Pr  0.6277  0.2555  0.5081  1 Sc 3.54, 4 Dy 3.77, 6 Pr 3.80-3.89
Pr  0.7217  0.4434  0.8208  2 Pr 3.24, 1 Er 3.26, 3 Sc 3.33-3.54, 2 Dy 3.63
Pr  0.2783  0.5566  0.3208  2 Pr 3.24, 1 Er 3.26, 3 Sc 3.33-3.54, 2 Dy 3.63
Pr  0.2787  0.5575  0.6965  2 Pr 3.24, 1 Er 3.26, 3 Sc 3.33-3.54, 2 Dy 3.62
Pr  0.0001  0.0003  0.5079  2 Er 3.51, 4 Dy 3.58-3.63, 6 Pr 3.74-3.89
Pr  0.4999  0.9998  0.2579  2 Er 3.41, 4 Dy 3.70, 6 Pr 3.74-3.81
Pr  0.9999  0.9997  0.0079  2 Er 3.51, 4 Dy 3.58-3.63, 6 Pr 3.74-3.89
Pr  0.3723  0.7445  0.0081  1 Sc 3.54, 4 Dy 3.77, 6 Pr 3.80-3.89
Pr  0.7213  0.4425  0.1965  2 Pr 3.24, 1 Er 3.26, 3 Sc 3.33-3.54, 2 Dy 3.62
Er  0.3982  0.7964  0.5081  6 Pr 3.26-3.51, 2 Sc 3.62
Er  0.6018  0.2036  0.0081  6 Pr 3.26-3.51, 2 Sc 3.62
Sc  0.2111  0.4222  0.0086  2 Dy 3.30-3.31, 7 Pr 3.33-3.54, 2 Er 3.62
Sc  0.7889  0.5778  0.5086  2 Dy 3.30-3.31, 7 Pr 3.33-3.54, 2 Er 3.62
Dy  0.1153  0.2305  0.7612  1 Sc 3.31, 7 Pr 3.59-3.70
Dy  0.8852  0.7703  0.7548  1 Sc 3.30, 7 Pr 3.58-3.70
Dy  0.8847  0.7695  0.2612  1 Sc 3.31, 7 Pr 3.59-3.70
Dy  0.1148  0.2297  0.2548  1 Sc 3.30, 7 Pr 3.58-3.70



Computed, not measured: a geometry-optimized PrDyErSc structure at the PBE level of DFT.

As for the polymorph energy (0 for the lowest one): 0.0000 eV/atom. Its total magnetic moment is 0.0001 μB/atom. The calculated formation energy comes out at 0.061 eV/atom.

Unit cell a=3.5245 b=3.5259 c=11.5419 alpha=90.01 beta=98.75 gamma=120.00
With the nearest neighbours (Å) after each atom.
Element x y z (fractional)
Er  0.3076  0.5515  0.8751  3 Sc 3.36-3.37, 3 Dy 3.49, 6 Er 3.52-3.53
Pr  0.9630  0.3799  0.3580  3 Sc 3.47, 6 Pr 3.52-3.53, 3 Dy 3.66
Sc  0.1325  0.9643  0.1111  3 Er 3.36-3.37, 3 Pr 3.47, 6 Sc 3.52-3.53
Dy  0.4748  0.1350  0.6255  3 Er 3.49, 6 Dy 3.52-3.53, 3 Pr 3.66



Computed, not measured: a geometry-optimized PrDyErSc structure at the PBE level of DFT.

As for the polymorph energy (0 for the lowest one): 0.0446 eV/atom. Its total magnetic moment is 0.0012 μB/atom. The calculated formation energy comes out at 0.106 eV/atom.

Unit cell a=5.5790 b=5.5790 c=5.5790 alpha=60.00 beta=60.00 gamma=60.00
With the nearest neighbours (Å) after each atom.
Element x y z (fractional)
Sc  0.0000  0.0000  0.0000  4 Dy 3.42, 4 Pr 3.42
Pr  0.7500  0.7500  0.7500  4 Sc 3.42, 4 Er 3.42
Er  0.5000  0.5000  0.5000  4 Pr 3.42, 4 Dy 3.42
Dy  0.2500  0.2500  0.2500  4 Er 3.42, 4 Sc 3.42



Q: Which value of total magnetic moment does entry 12 give?
A: 0.0012 μB/atom



Q: The highest total magnetic moment belongs to which entry?
A: number 12



Q: What is the total magnetic moment in the eighth record?
A: 0.0000 μB/atom